Entry from Alexandria: a relaxed structure of Hg3RuW (PBE).

POSCAR file:
```
Hg3RuW
1.0
5.163 0.000 0.000
0.000 5.163 0.000
0.000 0.000 5.163
Hg Ru W
3 1 1
Cartesian
0.000 0.000 2.581
0.000 2.581 0.000
2.581 0.000 0.000
0.000 0.000 0.000
2.581 2.581 2.581
```

Computed properties:
Energy relative to the elements ... 1741 meV per atom
Total moment ... 1.129 μB per atom

***

Entry from Alexandria: a relaxed structure of AcNdYAg (PBE).

POSCAR file:
```
AcNdYAg
1.0
0.000 3.982 3.982
3.982 0.000 3.982
3.982 3.982 0.000
Ac Nd Y Ag
1 1 1 1
Cartesian
0.000 0.000 0.000
5.974 5.974 5.974
1.991 1.991 1.991
3.982 3.982 3.982
```

Computed properties:
Energy relative to the elements ... 165 meV per atom
Total moment ... 0.000 μB per atom

***

Entry from Alexandria: a relaxed structure of La6ThZn (PBE).

POSCAR file:
```
La6ThZn
1.0
6.914 0.000 0.000
3.452 5.995 0.000
3.422 2.005 7.273
La Th Zn
6 1 1
Cartesian
2.591 3.121 1.810
7.437 7.311 5.461
6.574 5.178 1.816
7.214 2.821 5.457
6.351 0.689 1.812
11.197 4.879 5.464
5.183 2.998 0.000
1.711 1.002 3.637
```

Computed properties:
Energy relative to the elements ... 324 meV per atom
Total moment ... 0.000 μB per atom

***

Entry from Alexandria: a relaxed structure of Pm2SmNpO8 (PBE).

POSCAR file:
```
Pm2SmNpO8
1.0
3.954 0.000 0.000
0.000 7.588 0.000
-0.427 0.000 5.514
Pm Sm Np O
2 1 1 8
Cartesian
0.000 1.844 0.000
0.000 5.743 0.000
1.763 0.000 2.757
1.763 3.794 2.757
-0.307 0.000 4.146
0.091 3.794 1.560
1.538 2.140 4.037
1.538 5.447 4.037
1.989 2.140 1.477
1.989 5.447 1.477
3.436 3.794 3.954
3.834 0.000 1.367
```

Computed properties:
Calculated total energy ... -8.707 eV/atom
Total moment ... 0.000 μB per atom

***

Entry from Alexandria: a relaxed structure of Cs3Pm2ScS6 (PBE).

POSCAR file:
```
Cs3Pm2ScS6
1.0
3.565 -6.173 0.000
3.565 6.173 0.000
-2.380 0.000 8.056
Cs Pm Sc S
3 2 1 6
Cartesian
0.000 0.000 0.000
3.565 2.088 0.000
3.565 -2.088 0.000
2.375 4.117 4.028
2.375 -4.117 4.028
2.375 0.000 4.028
1.252 1.944 2.573
0.128 0.000 5.495
1.252 -1.944 2.573
3.498 1.944 5.484
4.622 0.000 2.561
3.498 -1.944 5.484
```

Computed properties:
Calculated total energy ... -5.355 eV/atom
Total moment ... 0.000 μB per atom

***

Entry from Alexandria: a relaxed structure of YRuPt (PBE).

POSCAR file:
```
YRuPt
1.0
0.000 3.180 3.180
3.180 0.000 3.180
3.180 3.180 0.000
Y Ru Pt
1 1 1
Cartesian
0.000 0.000 0.000
4.770 4.770 4.770
3.180 3.180 3.180
```

Computed properties:
Energy relative to the elements ... -48 meV per atom
Total moment ... 0.474 μB per atom